(1)
## Li3Bi2Pd4 (GGA-PBE)

Data for a relaxed Li3Bi2Pd4 crystal.

The structure in CIF format:
```
data_Li3Bi2Pd4
_chemical_formula_sum 'Li6 Bi4 Pd8'
_symmetry_space_group_name_H-M 'C 1 2/m 1'
_symmetry_Int_Tables_number 12
_symmetry_space_group_name_Hall '-C 2y'
_cell_length_a 7.966
_cell_length_b 4.572
_cell_length_c 8.568
_cell_angle_alpha 90.00
_cell_angle_beta 90.47
_cell_angle_gamma 90.00
loop_
_atom_site_label
_atom_site_type_symbol
_atom_site_fract_x
_atom_site_fract_y
_atom_site_fract_z
_atom_site_occupancy
Li1 Li 0.000 0.000 0.000 1
Li2 Li 0.166 0.500 0.568 1
Bi1 Bi 0.166 0.500 0.225 1
Pd1 Pd 0.000 0.000 0.338 1
Pd2 Pd 0.167 0.500 0.899 1
```

Calculated values
Magnetic moment (μB per formula unit): 0.00

---

(2)
## Li3BiPd2 (GGA-PBE)

Data for a relaxed Li3BiPd2 crystal.

The structure in CIF format:
```
data_Li3BiPd2
_chemical_formula_sum 'Li12 Bi4 Pd8'
_symmetry_space_group_name_H-M 'C 1 2/m 1'
_symmetry_Int_Tables_number 12
_symmetry_space_group_name_Hall '-C 2y'
_cell_length_a 13.344
_cell_length_b 4.580
_cell_length_c 6.941
_cell_angle_alpha 90.00
_cell_angle_beta 90.83
_cell_angle_gamma 90.00
loop_
_atom_site_label
_atom_site_type_symbol
_atom_site_fract_x
_atom_site_fract_y
_atom_site_fract_z
_atom_site_occupancy
Li1 Li 0.070 0.000 0.369 1
Li2 Li 0.107 0.500 0.084 1
Li3 Li 0.192 0.500 0.446 1
Bi1 Bi 0.139 0.000 0.815 1
Pd1 Pd 0.046 0.500 0.674 1
Pd2 Pd 0.237 0.000 0.174 1
```

Calculated values
Magnetic moment (μB per formula unit): 0.00

---

(3)
## Li5Bi2Pd5 (GGA-PBE)

Data for a relaxed Li5Bi2Pd5 crystal.

The structure in CIF format:
```
data_Li5Bi2Pd5
_chemical_formula_sum 'Li10 Bi4 Pd10'
_symmetry_space_group_name_H-M 'C 1 2/m 1'
_symmetry_Int_Tables_number 12
_symmetry_space_group_name_Hall '-C 2y'
_cell_length_a 13.166
_cell_length_b 4.452
_cell_length_c 7.955
_cell_angle_alpha 90.00
_cell_angle_beta 123.29
_cell_angle_gamma 90.00
loop_
_atom_site_label
_atom_site_type_symbol
_atom_site_fract_x
_atom_site_fract_y
_atom_site_fract_z
_atom_site_occupancy
Li1 Li 0.000 0.000 0.000 1
Li2 Li 0.095 0.000 0.400 1
Li3 Li 0.246 0.000 0.271 1
Bi1 Bi 0.153 0.000 0.792 1
Pd1 Pd 0.000 0.500 0.500 1
Pd2 Pd 0.085 0.500 0.928 1
Pd3 Pd 0.168 0.500 0.337 1
```

Calculated values
Distance to the lowest polymorph of the same formula (eV per formula unit): 0.48
Magnetic moment (μB per formula unit): 0.00

---

(4)
## LiPmBiPd (GGA-PBE)

Data for a relaxed LiPmBiPd crystal.

The structure in CIF format:
```
data_LiPmBiPd
_chemical_formula_sum 'Li4 Pm4 Bi4 Pd4'
_symmetry_space_group_name_H-M 'F -4 3 m'
_symmetry_Int_Tables_number 216
_symmetry_space_group_name_Hall 'F -4 2 3'
_cell_length_a 7.022
_cell_length_b 7.022
_cell_length_c 7.022
_cell_angle_alpha 90.00
_cell_angle_beta 90.00
_cell_angle_gamma 90.00
loop_
_atom_site_label
_atom_site_type_symbol
_atom_site_fract_x
_atom_site_fract_y
_atom_site_fract_z
_atom_site_occupancy
Li1 Li 0.000 0.000 0.000 1
Pm1 Pm 0.250 0.250 0.250 1
Bi1 Bi 0.250 0.250 0.750 1
Pd1 Pd 0.000 0.000 0.500 1
```

Calculated values
Magnetic moment (μB per formula unit): 0.00

---

(5)
## LiPmBi2Pd4 (GGA-PBE)

Data for a relaxed LiPmBi2Pd4 crystal.

The structure in CIF format:
```
data_LiPmBi2Pd4
_chemical_formula_sum 'Li3 Pm3 Bi6 Pd12'
_symmetry_space_group_name_H-M 'R -3 m'
_symmetry_Int_Tables_number 166
_symmetry_space_group_name_Hall '-R 3 2"'
_cell_length_a 4.7820
_cell_length_b 4.7820
_cell_length_c 24.1497
_cell_angle_alpha 90.00
_cell_angle_beta 90.00
_cell_angle_gamma 120.00
loop_
_atom_site_label
_atom_site_type_symbol
_atom_site_fract_x
_atom_site_fract_y
_atom_site_fract_z
_atom_site_occupancy
Li1 Li 0.0000 0.0000 0.0000 1
Pm1 Pm 0.0000 0.0000 0.5000 1
Bi1 Bi 0.0000 0.0000 0.2550 1
Pd1 Pd 0.0000 0.0000 0.1126 1
Pd2 Pd 0.0000 0.0000 0.3722 1
```

Calculated values
Magnetic moment (μB per formula unit): 0.00

---

(6)
## LiPrBiPd (GGA-PBE)

Data for a relaxed LiPrBiPd crystal.

The structure in CIF format:
```
data_LiPrBiPd
_chemical_formula_sum 'Li4 Pr4 Bi4 Pd4'
_symmetry_space_group_name_H-M 'F -4 3 m'
_symmetry_Int_Tables_number 216
_symmetry_space_group_name_Hall 'F -4 2 3'
_cell_length_a 7.078
_cell_length_b 7.078
_cell_length_c 7.078
_cell_angle_alpha 90.00
_cell_angle_beta 90.00
_cell_angle_gamma 90.00
loop_
_atom_site_label
_atom_site_type_symbol
_atom_site_fract_x
_atom_site_fract_y
_atom_site_fract_z
_atom_site_occupancy
Li1 Li 0.000 0.000 0.000 1
Pr1 Pr 0.250 0.250 0.750 1
Bi1 Bi 0.250 0.250 0.250 1
Pd1 Pd 0.000 0.000 0.500 1
```

Calculated values
Magnetic moment (μB per formula unit): 0.00

---

(7)
## Li3Pr2BiPd12 (GGA-PBE)

Data for a relaxed Li3Pr2BiPd12 crystal.

The structure in CIF format:
```
data_Li3Pr2BiPd12
_chemical_formula_sum 'Li9 Pr6 Bi3 Pd36'
_symmetry_space_group_name_H-M 'R -3 m'
_symmetry_Int_Tables_number 166
_symmetry_space_group_name_Hall '-R 3 2"'
_cell_length_a 6.5885
_cell_length_b 6.5885
_cell_length_c 27.9162
_cell_angle_alpha 90.00
_cell_angle_beta 90.00
_cell_angle_gamma 120.00
loop_
_atom_site_label
_atom_site_type_symbol
_atom_site_fract_x
_atom_site_fract_y
_atom_site_fract_z
_atom_site_occupancy
Li1 Li 0.0000 0.5000 0.0000 1
Pr1 Pr 0.0000 0.0000 0.1321 1
Bi1 Bi 0.0000 0.0000 0.5000 1
Pd1 Pd 0.0500 0.5250 0.8902 1
Pd2 Pd 0.0593 0.5297 0.6235 1
```

Calculated values
Magnetic moment (μB per formula unit): 0.00

---

(8)
## LiPuBiPd (GGA-PBE)

Data for a relaxed LiPuBiPd crystal.

The structure in CIF format:
```
data_LiPuBiPd
_chemical_formula_sum 'Li4 Pu4 Bi4 Pd4'
_symmetry_space_group_name_H-M 'F -4 3 m'
_symmetry_Int_Tables_number 216
_symmetry_space_group_name_Hall 'F -4 2 3'
_cell_length_a 6.987
_cell_length_b 6.987
_cell_length_c 6.987
_cell_angle_alpha 90.00
_cell_angle_beta 90.00
_cell_angle_gamma 90.00
loop_
_atom_site_label
_atom_site_type_symbol
_atom_site_fract_x
_atom_site_fract_y
_atom_site_fract_z
_atom_site_occupancy
Li1 Li 0.000 0.000 0.000 1
Pu1 Pu 0.250 0.250 0.250 1
Bi1 Bi 0.250 0.250 0.750 1
Pd1 Pd 0.000 0.000 0.500 1
```

Calculated values
Magnetic moment (μB per formula unit): 5.89

---

Let's list volume in order: 312.1 424.2 389.8 346.2 478.2 354.6 1049.5 341.1 Å³/cell.
Let's list final energy in order: -76.6 -89.5 -95.7 -72.6 -118.7 -72.8 -260.6 -107.6 eV for the cell shown.